#P
The following is a GGA-PBEsol calculation of a relaxed K2Sn2O3 crystal, from Alexandria.

Geometry as POSCAR:
```
K2Sn2O3
1.0
-4.814 -3.314 4.202
2.486 -4.633 -4.916
5.467 2.382 4.032
O Sn K
6 4 4
Cartesian
3.177 -3.063 -2.696 O
1.222 -2.498 -0.379 O
3.611 -3.162 1.454 O
1.002 -4.791 1.670 O
2.462 -1.240 5.764 O
-2.061 -1.942 4.139 O
0.388 -6.727 1.284 Sn
1.582 -2.806 1.633 Sn
1.271 -2.304 -2.438 Sn
-2.432 -1.674 2.123 Sn
-4.716 -3.246 4.116 K
2.761 -5.004 -0.699 K
-1.100 -4.087 -0.289 K
3.864 -1.174 -0.525 K
```

Values from the calculation:
The calculation puts the mass density at 4206 kg/m3. Its symmetry is I2_13.

***

#Q
The following is a GGA-PBEsol calculation of a relaxed K2Sn2O3 crystal, from Alexandria.

Geometry as POSCAR:
```
K2Sn2O3
1.0
-0.004 2.394 -5.327
-1.182 -3.462 -4.553
-5.140 0.678 -2.689
Sn K O
2 2 3
Cartesian
-4.787 -0.295 -9.512 Sn
-1.538 -0.095 -3.057 Sn
0.000 0.000 0.000 K
-3.162 -0.195 -6.285 K
-0.002 1.197 -2.664 O
-0.591 -1.731 -2.276 O
-2.570 0.339 -1.345 O
```

Values from the calculation:
The calculation puts the mass density at 4096 kg/m3. Its symmetry is R-3m.

***

Relative to the most stable one, in meV/atom, the structures come out at #P 0; #Q 11.